# YTcIr2 | the Alexandria database | SCAN | single point on PBEsol structure
# - total magnetization (μB/f.u.) = 1.2
# - Fermi-level density of states (states/eV per cell) = 6.487
# - ΔE_f (meV per atom) = -161
data_YTcIr2
_space_group_name_H-M_alt 'I m m m'
_space_group_IT_number 71
_space_group_name_Hall '-I 2 2'
_cell_length_a 3.995
_cell_length_b 4.160
_cell_length_c 7.817
_cell_angle_alpha 90.00
_cell_angle_beta 90.00
_cell_angle_gamma 90.00
loop_
_atom_site_label
_atom_site_type_symbol
_atom_site_fract_x
_atom_site_fract_y
_atom_site_fract_z
Y1 Y 0.000 0.000 0.000
Tc1 Tc 0.000 0.000 0.500
Ir1 Ir 0.000 0.500 0.246


# Ti2BiPd2 | the Alexandria database | SCAN | single point on PBEsol structure
# - total magnetization (μB/f.u.) = 0.0
# - Fermi-level density of states (states/eV per cell) = 5.945
# - ΔE_f (meV per atom) = -423
data_Ti2BiPd2
_space_group_name_H-M_alt 'P 4/m b m'
_space_group_IT_number 127
_space_group_name_Hall '-P 4 2ab'
_cell_length_a 7.523
_cell_length_b 7.523
_cell_length_c 3.088
_cell_angle_alpha 90.00
_cell_angle_beta 90.00
_cell_angle_gamma 90.00
loop_
_atom_site_label
_atom_site_type_symbol
_atom_site_fract_x
_atom_site_fract_y
_atom_site_fract_z
Ti1 Ti 0.162 0.338 0.000
Bi1 Bi 0.000 0.000 0.500
Pd1 Pd 0.128 0.628 0.500


# HfCoN2Cl | the Alexandria database | SCAN | single point on PBEsol structure
# - total magnetization (μB/f.u.) = 2.1
# - Fermi-level density of states (states/eV per cell) = 2.677
# - ΔE_f (raw) (eV per atom) = 2.104
data_HfCoN2Cl
_space_group_name_H-M_alt 'P 4/m m m'
_space_group_IT_number 123
_space_group_name_Hall '-P 4 2'
_cell_length_a 3.794
_cell_length_b 3.794
_cell_length_c 4.701
_cell_angle_alpha 90.00
_cell_angle_beta 90.00
_cell_angle_gamma 90.00
loop_
_atom_site_label
_atom_site_type_symbol
_atom_site_fract_x
_atom_site_fract_y
_atom_site_fract_z
Hf1 Hf 0.000 0.000 0.000
Co1 Co 0.500 0.500 0.000
N1 N 0.000 0.500 0.500
Cl1 Cl 0.000 0.000 0.500


# Ag2BPd | the Alexandria database | SCAN | single point on PBEsol structure
# - total magnetization (μB/f.u.) = 0.0
# - Fermi-level density of states (states/eV per cell) = 4.990
# - ΔE_f (meV per atom) = 466
data_Ag2BPd
_space_group_name_H-M_alt 'I -4 2 d'
_space_group_IT_number 122
_space_group_name_Hall 'I -4 2bw'
_cell_length_a 6.980
_cell_length_b 6.980
_cell_length_c 4.682
_cell_angle_alpha 90.00
_cell_angle_beta 90.00
_cell_angle_gamma 90.00
loop_
_atom_site_label
_atom_site_type_symbol
_atom_site_fract_x
_atom_site_fract_y
_atom_site_fract_z
Ag1 Ag 0.167 0.250 0.125
B1 B 0.000 0.000 0.000
Pd1 Pd 0.000 0.000 0.500


# TlFe2Ir | the Alexandria database | SCAN | single point on PBEsol structure
# - total magnetization (μB/f.u.) = 6.5
# - Fermi-level density of states (states/eV per cell) = 3.594
# - ΔE_f (meV per atom) = 282
data_TlFe2Ir
_space_group_name_H-M_alt 'P 4/m m m'
_space_group_IT_number 123
_space_group_name_Hall '-P 4 2'
_cell_length_a 2.804
_cell_length_b 2.804
_cell_length_c 7.510
_cell_angle_alpha 90.00
_cell_angle_beta 90.00
_cell_angle_gamma 90.00
loop_
_atom_site_label
_atom_site_type_symbol
_atom_site_fract_x
_atom_site_fract_y
_atom_site_fract_z
Tl1 Tl 0.000 0.000 0.000
Fe1 Fe 0.500 0.500 0.279
Ir1 Ir 0.000 0.000 0.500


# ZnNiHg2 | the Alexandria database | SCAN | single point on PBEsol structure
# - total magnetization (μB/f.u.) = 0.0
# - Fermi-level density of states (states/eV per cell) = 3.368
# - ΔE_f (meV per atom) = 229
data_ZnNiHg2
_space_group_name_H-M_alt 'I 4/m m m'
_space_group_IT_number 139
_space_group_name_Hall '-I 4 2'
_cell_length_a 4.455
_cell_length_b 4.455
_cell_length_c 6.462
_cell_angle_alpha 90.00
_cell_angle_beta 90.00
_cell_angle_gamma 90.00
loop_
_atom_site_label
_atom_site_type_symbol
_atom_site_fract_x
_atom_site_fract_y
_atom_site_fract_z
Zn1 Zn 0.000 0.000 0.000
Ni1 Ni 0.000 0.000 0.500
Hg1 Hg 0.000 0.500 0.250


# NiPt2Br | the Alexandria database | SCAN | single point on PBEsol structure
# - total magnetization (μB/f.u.) = 1.3
# - Fermi-level density of states (states/eV per cell) = 4.945
# - ΔE_f (raw) (eV per atom) = 0.724
data_NiPt2Br
_space_group_name_H-M_alt 'C m m m'
_space_group_IT_number 65
_space_group_name_Hall '-C 2 2'
_cell_length_a 5.563
_cell_length_b 7.684
_cell_length_c 2.832
_cell_angle_alpha 90.00
_cell_angle_beta 90.00
_cell_angle_gamma 90.00
loop_
_atom_site_label
_atom_site_type_symbol
_atom_site_fract_x
_atom_site_fract_y
_atom_site_fract_z
Ni1 Ni 0.000 0.000 0.000
Pt1 Pt 0.250 0.250 0.500
Br1 Br 0.000 0.500 0.000


# Re2HgW | the Alexandria database | SCAN | single point on PBEsol structure
# - total magnetization (μB/f.u.) = 0.0
# - Fermi-level density of states (states/eV per cell) = 2.517
# - ΔE_f (meV per atom) = 869
data_Re2HgW
_space_group_name_H-M_alt 'P m m m'
_space_group_IT_number 47
_cell_length_a 3.221
_cell_length_b 4.413
_cell_length_c 4.463
_cell_angle_alpha 90.00
_cell_angle_beta 90.00
_cell_angle_gamma 90.00
loop_
_space_group_symop_operation_xyz
'x,y,z'
'-x,-y,-z'
'-x,-y,z'
'x,y,-z'
'x,-y,-z'
'-x,y,z'
'-x,y,-z'
'x,-y,z'
loop_
_atom_site_label
_atom_site_type_symbol
_atom_site_fract_x
_atom_site_fract_y
_atom_site_fract_z
Re1 Re 0.000 0.000 0.000
Re2 Re 0.500 0.000 0.500
Hg1 Hg 0.000 0.500 0.500
W1 W 0.500 0.500 0.000


no.,raw total energy (eV/atom),ρ (g/cm3)
1,-51.44,14.60
2,-35.66,9.83
3,-19.20,7.38
4,-25.27,9.70
5,-44.65,14.29
6,-41.28,13.60
7,-43.28,14.51
8,-69.14,19.81